First-principles (PBE) data for Ca2YCu after structural relaxation, as listed in Alexandria.

a = 6.228 Å, b = 6.435 Å, c = 3.514 Å
α = 78.77°, β = 80.68°, γ = 116.09°
Sites, in units of the cell vectors:
Ca 0.000 0.000 0.000
Ca 0.500 0.000 0.500
Y 0.500 0.500 0.000
Cu 0.000 0.500 0.500

Results
As for the space group: C2/m, No. 12. The value obtained for the density is 3.24 g cm⁻³. The value obtained for the energy above the lowest structure with this stoichiometry is 344 meV per atom. The electronic total energy is -3.35 eV per atom.